[1]
! NaGaC2 PBEsol relaxed; values from VASP
&SYSTEM
  ibrav = 0, nat = 8, ntyp = 3
/
ATOMIC_SPECIES
Na 22.99 Na.upf
Ga 69.72 Ga.upf
C 12.01 C.upf
ATOMIC_POSITIONS crystal
Na 0.375 0.625 0.750
Na 0.625 0.375 0.250
Ga 0.125 0.875 0.250
Ga 0.875 0.125 0.750
C 0.000 0.000 0.000
C 0.000 0.000 0.500
C 0.000 0.500 0.000
C 0.500 0.000 0.500
CELL_PARAMETERS angstrom
-2.062 2.062 6.569
2.062 -2.062 6.569
2.062 2.062 -6.569
! * space group: I4_1/amd, No. 141
! * energy of formation: 5.7 eV/f.u.
! * E: -4.59 eV/atom
! * calculated volume: 55.85 Å³/f.u.

***

[2]
! Na2GaPCO7 PBEsol relaxed; values from VASP
&SYSTEM
  ibrav = 0, nat = 24, ntyp = 5
/
ATOMIC_SPECIES
Na 22.99 Na.upf
Ga 69.72 Ga.upf
P 30.97 P.upf
C 12.01 C.upf
O 16.00 O.upf
ATOMIC_POSITIONS crystal
Na 0.234 0.006 0.278
Na 0.234 0.494 0.278
Na 0.766 0.506 0.722
Na 0.766 0.994 0.722
Ga 0.215 0.250 0.858
Ga 0.785 0.750 0.142
P 0.277 0.750 0.929
P 0.723 0.250 0.071
C 0.277 0.250 0.586
C 0.723 0.750 0.414
O 0.045 0.250 0.640
O 0.145 0.750 0.082
O 0.197 0.558 0.838
O 0.197 0.942 0.838
O 0.325 0.250 0.450
O 0.420 0.250 0.042
O 0.463 0.250 0.692
O 0.537 0.750 0.308
O 0.580 0.750 0.958
O 0.675 0.750 0.550
O 0.803 0.058 0.162
O 0.803 0.442 0.162
O 0.855 0.250 0.918
O 0.955 0.750 0.360
CELL_PARAMETERS angstrom
5.150 0.000 0.000
0.000 6.461 0.000
-0.291 0.000 8.937
! * space group: P2_1/m, No. 11
! * E: -6.83 eV/atom
! * calculated volume: 148.69 Å³/f.u.

***

[3]
! RbNa2GaC PBEsol relaxed; values from VASP
&SYSTEM
  ibrav = 0, nat = 5, ntyp = 4
/
ATOMIC_SPECIES
Rb 85.47 Rb.upf
Na 22.99 Na.upf
Ga 69.72 Ga.upf
C 12.01 C.upf
ATOMIC_POSITIONS crystal
Rb 0.000 0.000 0.000
Na 0.000 0.500 0.500
Na 0.500 0.000 0.500
Ga 0.500 0.500 0.000
C 0.000 0.000 0.500
CELL_PARAMETERS angstrom
5.026 0.000 0.000
0.000 5.026 0.000
0.000 0.000 5.836
! * space group: P4/mmm, No. 123
! * energy of formation: 5.3 eV/f.u.
! * E: -2.31 eV/atom
! * calculated volume: 147.43 Å³/f.u.

***

[4]
! Na2ZnGaC PBEsol relaxed; values from VASP
&SYSTEM
  ibrav = 0, nat = 5, ntyp = 4
/
ATOMIC_SPECIES
Na 22.99 Na.upf
Zn 65.41 Zn.upf
Ga 69.72 Ga.upf
C 12.01 C.upf
ATOMIC_POSITIONS crystal
Na 0.000 0.500 0.000
Na 0.500 0.000 0.000
Zn 0.000 0.000 0.500
Ga 0.500 0.500 0.500
C 0.000 0.000 0.000
CELL_PARAMETERS angstrom
5.068 0.000 0.000
0.000 5.068 0.000
0.000 0.000 3.741
! * space group: P4/mmm, No. 123
! * energy of formation: 3.0 eV/f.u.
! * E: -2.88 eV/atom
! * calculated volume: 96.10 Å³/f.u.

***

[5]
! Nb2GaC PBEsol relaxed; values from VASP
&SYSTEM
  ibrav = 0, nat = 8, ntyp = 3
/
ATOMIC_SPECIES
Nb 92.91 Nb.upf
Ga 69.72 Ga.upf
C 12.01 C.upf
ATOMIC_POSITIONS crystal
Nb 0.333 0.667 0.090
Nb 0.333 0.667 0.410
Nb 0.667 0.333 0.590
Nb 0.667 0.333 0.910
Ga 0.333 0.667 0.750
Ga 0.667 0.333 0.250
C 0.000 0.000 0.000
C 0.000 0.000 0.500
CELL_PARAMETERS angstrom
3.129 0.000 0.000
-1.564 2.709 0.000
0.000 0.000 13.503
! * space group: P6_3/mmc, No. 194
! * energy of formation: -2.3 eV/f.u.
! * E: -9.23 eV/atom
! * calculated volume: 57.23 Å³/f.u.

***

[6]
! Nb2GaNiC PBEsol relaxed; values from VASP
&SYSTEM
  ibrav = 0, nat = 5, ntyp = 4
/
ATOMIC_SPECIES
Nb 92.91 Nb.upf
Ga 69.72 Ga.upf
Ni 58.69 Ni.upf
C 12.01 C.upf
ATOMIC_POSITIONS crystal
Nb 0.000 0.500 0.000
Nb 0.500 0.000 0.000
Ga 0.000 0.000 0.500
Ni 0.500 0.500 0.000
C 0.500 0.500 0.500
CELL_PARAMETERS angstrom
4.759 0.000 0.000
0.000 4.759 0.000
0.000 0.000 3.403
! * space group: P4/mmm, No. 123
! * energy of formation: 4.2 eV/f.u.
! * E: -7.32 eV/atom
! * calculated volume: 77.06 Å³/f.u.

***

[7]
! YNb2GaC PBEsol relaxed; values from VASP
&SYSTEM
  ibrav = 0, nat = 5, ntyp = 4
/
ATOMIC_SPECIES
Y 88.91 Y.upf
Nb 92.91 Nb.upf
Ga 69.72 Ga.upf
C 12.01 C.upf
ATOMIC_POSITIONS crystal
Y 0.000 0.000 0.000
Nb 0.000 0.500 0.000
Nb 0.500 0.000 0.000
Ga 0.500 0.500 0.500
C 0.000 0.000 0.500
CELL_PARAMETERS angstrom
5.017 0.000 0.000
0.000 5.017 0.000
0.000 0.000 4.164
! * space group: P4/mmm, No. 123
! * energy of formation: 11.3 eV/f.u.
! * E: -6.03 eV/atom
! * calculated volume: 104.83 Å³/f.u.

***

[8]
! Nd3GaC PBEsol relaxed; values from VASP
&SYSTEM
  ibrav = 0, nat = 5, ntyp = 3
/
ATOMIC_SPECIES
Nd 144.24 Nd.upf
Ga 69.72 Ga.upf
C 12.01 C.upf
ATOMIC_POSITIONS crystal
Nd 0.000 0.000 0.500
Nd 0.000 0.500 0.000
Nd 0.500 0.000 0.000
Ga 0.000 0.000 0.000
C 0.500 0.500 0.500
CELL_PARAMETERS angstrom
5.395 0.000 0.000
0.000 5.395 0.000
0.000 0.000 5.395
! * space group: Pm-3m, No. 221
! * energy of formation: 6.3 eV/f.u.
! * E: -4.44 eV/atom
! * calculated volume: 157.05 Å³/f.u.

***

[9]
! GaOsRuC2 PBEsol relaxed; values from VASP
&SYSTEM
  ibrav = 0, nat = 5, ntyp = 4
/
ATOMIC_SPECIES
Ga 69.72 Ga.upf
Os 190.23 Os.upf
Ru 101.07 Ru.upf
C 12.01 C.upf
ATOMIC_POSITIONS crystal
Ga 0.000 0.000 0.000
Os 0.500 0.500 0.500
Ru 0.500 0.500 0.000
C 0.000 0.500 0.500
C 0.500 0.000 0.500
CELL_PARAMETERS angstrom
3.819 0.000 0.000
0.000 3.819 0.000
0.000 0.000 5.238
! * space group: P4/mmm, No. 123
! * energy of formation: 7.7 eV/f.u.
! * E: -7.46 eV/atom
! * calculated volume: 76.40 Å³/f.u.

***

[10]
! TlGaOsC2 PBEsol relaxed; values from VASP
&SYSTEM
  ibrav = 0, nat = 5, ntyp = 4
/
ATOMIC_SPECIES
Tl 204.38 Tl.upf
Ga 69.72 Ga.upf
Os 190.23 Os.upf
C 12.01 C.upf
ATOMIC_POSITIONS crystal
Tl 0.000 0.000 0.000
Ga 0.000 0.000 0.500
Os 0.500 0.500 0.000
C 0.000 0.500 0.500
C 0.500 0.000 0.500
CELL_PARAMETERS angstrom
3.881 0.000 0.000
0.000 3.881 0.000
0.000 0.000 5.248
! * space group: P4/mmm, No. 123
! * energy of formation: 13.4 eV/f.u.
! * E: -4.81 eV/atom
! * calculated volume: 79.04 Å³/f.u.

***

[11]
! GaPd2C PBEsol relaxed; values from VASP
&SYSTEM
  ibrav = 0, nat = 4, ntyp = 3
/
ATOMIC_SPECIES
Ga 69.72 Ga.upf
Pd 106.42 Pd.upf
C 12.01 C.upf
ATOMIC_POSITIONS crystal
Ga 0.000 0.000 0.000
Pd 0.250 0.250 0.250
Pd 0.750 0.750 0.750
C 0.500 0.500 0.500
CELL_PARAMETERS angstrom
0.000 2.932 2.932
2.932 0.000 2.932
2.932 2.932 0.000
! * space group: Fm-3m, No. 225
! * energy of formation: 3.0 eV/f.u.
! * E: -5.48 eV/atom
! * calculated volume: 50.40 Å³/f.u.

***

[12]
! GaPd3C PBEsol relaxed; values from VASP
&SYSTEM
  ibrav = 0, nat = 5, ntyp = 3
/
ATOMIC_SPECIES
Ga 69.72 Ga.upf
Pd 106.42 Pd.upf
C 12.01 C.upf
ATOMIC_POSITIONS crystal
Ga 0.000 0.000 0.000
Pd 0.000 0.000 0.500
Pd 0.000 0.500 0.000
Pd 0.500 0.000 0.000
C 0.500 0.500 0.500
CELL_PARAMETERS angstrom
4.514 0.000 0.000
0.000 4.514 0.000
0.000 0.000 4.514
! * space group: Pm-3m, No. 221
! * energy of formation: 8.7 eV/f.u.
! * E: -4.43 eV/atom
! * calculated volume: 91.98 Å³/f.u.